{"formula": "Nd3Y7Ho2", "functional": "PBE", "state": "optimized geometry", "lattice": [[3.589, 0.000, 0.000], [0.000, 5.859, -0.315], [0.000, -3.814, 19.106]], "species": ["Y", "Y", "Y", "Y", "Y", "Y", "Y", "Nd", "Nd", "Nd", "Ho", "Ho"], "fractional_positions": [[0.000, 0.455, 0.144], [0.500, 0.719, 0.462], [0.500, 0.985, 0.177], [0.000, 0.545, 0.856], [0.000, 0.000, 0.000], [0.500, 0.015, 0.823], [0.500, 0.281, 0.538], [0.000, 0.856, 0.634], [0.000, 0.144, 0.366], [0.500, 0.500, 0.000], [0.500, 0.583, 0.293], [0.500, 0.417, 0.707]], "final_energy_ev_per_cell": -67.7, "vol_a3_per_cell": 397.4, "e_form_mev_per_atom": 85, "n_ef_per_ev_atom": 1.268}